Compound: La3Nd13
Source: Alexandria
Functional: PBE
Structure: relaxed

Cell lengths 7.374, 7.374, 10.483 Å; angles 90.00, 90.00, 90.08 degrees
Sites, in units of the cell vectors:
Nd 0.000 0.500 0.251
Nd 0.250 0.750 0.500
Nd 0.749 0.749 0.500
La 0.000 0.000 0.750
Nd 0.000 0.500 0.749
Nd 0.499 0.501 0.252
Nd 0.251 0.251 0.500
Nd 0.250 0.250 0.000
Nd 0.252 0.748 0.000
Nd 0.750 0.250 0.500
Nd 0.500 0.000 0.251
La 0.748 0.252 0.000
Nd 0.500 0.000 0.749
Nd 0.499 0.501 0.748
La 0.000 0.000 0.250
Nd 0.750 0.750 0.000

Results
total DFT energy (no corrections): -0.3516 Ry/atom
DFT formation energy: 0.01 eV/atom
ΔE to the lowest computed polymorph: 0.00 eV/f.u.
volume: 570.0 Å³ per cell
space-group type: No. 38
density of states at the Fermi level: 1.7082 states/eV/atom